! Li3Np3GaSe8 | Alexandria via LeMat-Bulk | PBE-GGA | optimized geometry; values from VASP
! ΔE_f (raw) in meV per atom: -1016
&SYSTEM
  ibrav = 0, nat = 15, ntyp = 4
/
ATOMIC_SPECIES
Se 78.96 Se.upf
Np 237.00 Np.upf
Li 6.94 Li.upf
Ga 69.72 Ga.upf
CELL_PARAMETERS angstrom
-2.524 -6.711 -3.871
-0.226 0.323 8.166
-4.957 4.390 -4.382
ATOMIC_POSITIONS angstrom
Se -2.110 -0.117 6.103
Np -3.741 -1.160 -4.126
Se -4.266 1.659 -4.149
Li -0.113 0.161 4.083
Se -3.442 -3.657 4.062
Se -5.779 -1.555 -2.113
Se -3.325 -3.794 0.170
Ga -2.479 2.195 -2.191
Se -4.382 1.796 -0.256
Se -5.598 -1.881 -6.190
Se -1.929 -0.443 2.026
Np -3.854 -0.999 -0.043
Li 0.000 0.000 0.000
Np -2.592 2.357 1.892
Li -1.375 -3.194 2.148

! LiNpGaSn | Alexandria via LeMat-Bulk | PBE-GGA | optimized geometry; values from VASP
! VASP energy in eV/atom: -5.532
&SYSTEM
  ibrav = 0, nat = 4, ntyp = 4
/
ATOMIC_SPECIES
Ga 69.72 Ga.upf
Np 237.00 Np.upf
Sn 118.71 Sn.upf
Li 6.94 Li.upf
CELL_PARAMETERS angstrom
5.011 0.000 0.000
2.505 4.340 0.000
2.505 1.447 4.091
ATOMIC_POSITIONS angstrom
Ga 7.516 4.340 3.069
Np 0.000 0.000 0.000
Sn 2.505 1.447 1.023
Li 5.011 2.893 2.046

! LiNpGaTc | Alexandria via LeMat-Bulk | PBE-GGA | optimized geometry; values from VASP
! VASP energy in eV/atom: -6.925
&SYSTEM
  ibrav = 0, nat = 4, ntyp = 4
/
ATOMIC_SPECIES
Np 237.00 Np.upf
Ga 69.72 Ga.upf
Tc 98.00 Tc.upf
Li 6.94 Li.upf
CELL_PARAMETERS angstrom
-3.965 -0.127 -2.284
-1.992 -4.021 -0.906
-3.853 -1.185 2.168
ATOMIC_POSITIONS angstrom
Np -7.358 -4.000 -0.766
Ga -2.453 -1.333 -0.255
Tc 0.000 0.000 0.000
Li -4.905 -2.667 -0.511